No. 1
Entry from the Alexandria database: an optimized crystal structure of V3Mo5 (PBE).

## Properties
Crystal system ... cubic
ΔE to the lowest computed polymorph ... 0.00 kJ per mole of atoms
Calculated total energy ... -10.33 eV per atom
Energy relative to the elements ... -138 meV per atom

Cell and atoms, written as CIF:
```
data_V3Mo5
_cell_length_a 6.200
_cell_length_b 6.200
_cell_length_c 6.200
_cell_angle_alpha 90.00
_cell_angle_beta 90.00
_cell_angle_gamma 90.00
_symmetry_space_group_name_H-M 'I m -3 m'
_symmetry_Int_Tables_number 229
_symmetry_space_group_name_Hall '-I 4 2 3'
loop_
_atom_site_label
_atom_site_fract_x
_atom_site_fract_y
_atom_site_fract_z
_atom_site_occupancy
V1 0.000 0.000 0.500 1
Mo1 0.000 0.000 0.000 1
Mo2 0.250 0.250 0.250 1
```

---

No. 2
Entry from the Alexandria database: an optimized crystal structure of Ga2SnCl (PBE).

## Properties
Crystal system ... cubic
Raw formation energy ... -0.081 eV per atom
ΔE to the lowest computed polymorph ... 9.06 kJ per mole of atoms
Calculated total energy ... -3.06 eV per atom

Cell and atoms, written as CIF:
```
data_Ga2SnCl
_cell_length_a 7.124
_cell_length_b 7.124
_cell_length_c 7.124
_cell_angle_alpha 90.00
_cell_angle_beta 90.00
_cell_angle_gamma 90.00
_symmetry_space_group_name_H-M 'F m -3 m'
_symmetry_Int_Tables_number 225
_symmetry_space_group_name_Hall '-F 4 2 3'
loop_
_atom_site_label
_atom_site_fract_x
_atom_site_fract_y
_atom_site_fract_z
_atom_site_occupancy
Ga1 0.250 0.250 0.250 1
Sn1 0.000 0.000 0.000 1
Cl1 0.000 0.000 0.500 1
```

---

No. 3
Entry from the Alexandria database: an optimized crystal structure of La2ScAlH (PBE).

## Properties
Crystal system ... tetragonal
Calculated total energy ... -4.92 eV per atom

Cell and atoms, written as CIF:
```
data_La2ScAlH
_cell_length_a 4.857
_cell_length_b 4.857
_cell_length_c 4.807
_cell_angle_alpha 90.00
_cell_angle_beta 90.00
_cell_angle_gamma 90.00
_symmetry_space_group_name_H-M 'P 4/m m m'
_symmetry_Int_Tables_number 123
_symmetry_space_group_name_Hall '-P 4 2'
loop_
_atom_site_label
_atom_site_fract_x
_atom_site_fract_y
_atom_site_fract_z
_atom_site_occupancy
La1 0.000 0.500 0.000 1
Sc1 0.000 0.000 0.500 1
Al1 0.500 0.500 0.500 1
H1 0.000 0.000 0.000 1
```

---

No. 4
Entry from the Alexandria database: an optimized crystal structure of NaMoI2N (PBE).

## Properties
Crystal system ... tetragonal
Raw formation energy ... -0.160 eV per atom
ΔE to the lowest computed polymorph ... 0.00 kJ per mole of atoms
Calculated total energy ... -4.88 eV per atom

Cell and atoms, written as CIF:
```
data_NaMoI2N
_cell_length_a 5.782
_cell_length_b 5.782
_cell_length_c 3.880
_cell_angle_alpha 90.00
_cell_angle_beta 90.00
_cell_angle_gamma 90.00
_symmetry_space_group_name_H-M 'P 4/m m m'
_symmetry_Int_Tables_number 123
_symmetry_space_group_name_Hall '-P 4 2'
loop_
_atom_site_label
_atom_site_fract_x
_atom_site_fract_y
_atom_site_fract_z
_atom_site_occupancy
Na1 0.000 0.000 0.000 1
Mo1 0.500 0.500 0.500 1
I1 0.000 0.500 0.500 1
N1 0.500 0.500 0.000 1
```

---

No. 5
Entry from the Alexandria database: an optimized crystal structure of PmPd3Pt2 (PBE).

## Properties
Crystal system ... hexagonal
ΔE to the lowest computed polymorph ... 0.00 kJ per mole of atoms
Calculated total energy ... -5.99 eV per atom
Energy relative to the elements ... -588 meV per atom

Cell and atoms, written as CIF:
```
data_PmPd3Pt2
_cell_length_a 5.3816
_cell_length_b 5.3816
_cell_length_c 4.4515
_cell_angle_alpha 90.00
_cell_angle_beta 90.00
_cell_angle_gamma 120.00
_symmetry_space_group_name_H-M 'P 6/m m m'
_symmetry_Int_Tables_number 191
_symmetry_space_group_name_Hall '-P 6 2'
loop_
_atom_site_label
_atom_site_fract_x
_atom_site_fract_y
_atom_site_fract_z
_atom_site_occupancy
Pm1 0.0000 0.0000 0.0000 1
Pd1 0.0000 0.5000 0.5000 1
Pt1 0.3333 0.6667 0.0000 1
```

---

No. 6
Entry from the Alexandria database: an optimized crystal structure of BaLa3Pt (PBE).

## Properties
Crystal system ... orthorhombic
ΔE to the lowest computed polymorph ... 40.20 kJ per mole of atoms
Calculated total energy ... -4.54 eV per atom
Energy relative to the elements ... 6 meV per atom

Cell and atoms, written as CIF:
```
data_BaLa3Pt
_cell_length_a 9.495
_cell_length_b 17.575
_cell_length_c 5.235
_cell_angle_alpha 90.00
_cell_angle_beta 90.00
_cell_angle_gamma 90.00
_symmetry_space_group_name_H-M 'C m c m'
_symmetry_Int_Tables_number 63
_symmetry_space_group_name_Hall '-C 2c 2'
loop_
_atom_site_label
_atom_site_fract_x
_atom_site_fract_y
_atom_site_fract_z
_atom_site_occupancy
Ba1 0.000 0.210 0.250 1
La1 0.000 0.000 0.000 1
La2 0.179 0.419 0.250 1
Pt1 0.000 0.445 0.750 1
```

---

No. 7
Entry from the Alexandria database: an optimized crystal structure of LiAgPd (PBE).

## Properties
Crystal system ... orthorhombic
ΔE to the lowest computed polymorph ... 2.75 kJ per mole of atoms
Calculated total energy ... -3.56 eV per atom
Energy relative to the elements ... -239 meV per atom

Cell and atoms, written as CIF:
```
data_LiAgPd
_cell_length_a 4.107
_cell_length_b 10.869
_cell_length_c 4.061
_cell_angle_alpha 90.00
_cell_angle_beta 90.00
_cell_angle_gamma 90.00
_symmetry_space_group_name_H-M 'C m m m'
_symmetry_Int_Tables_number 65
_symmetry_space_group_name_Hall '-C 2 2'
loop_
_atom_site_label
_atom_site_fract_x
_atom_site_fract_y
_atom_site_fract_z
_atom_site_occupancy
Li1 0.000 0.000 0.000 1
Li2 0.000 0.500 0.500 1
Ag1 0.000 0.159 0.500 1
Pd1 0.000 0.346 0.000 1
```

---

No. 8
Entry from the Alexandria database: an optimized crystal structure of Cs4Rb3Cd2 (PBE).

## Properties
Crystal system ... monoclinic
Calculated total energy ... -0.91 eV per atom
Energy relative to the elements ... -1 meV per atom

Cell and atoms, written as CIF:
```
data_Cs4Rb3Cd2
_cell_length_a 22.857
_cell_length_b 5.725
_cell_length_c 11.727
_cell_angle_alpha 90.00
_cell_angle_beta 113.45
_cell_angle_gamma 90.00
_symmetry_space_group_name_H-M 'C 1 2/m 1'
_symmetry_Int_Tables_number 12
loop_
_symmetry_equiv_pos_as_xyz
'x,y,z'
'-x,-y,-z'
'-x,y,-z'
'x,-y,z'
'x+1/2,y+1/2,z'
'-x+1/2,-y+1/2,-z'
'-x+1/2,y+1/2,-z'
'x+1/2,-y+1/2,z'
loop_
_atom_site_label
_atom_site_fract_x
_atom_site_fract_y
_atom_site_fract_z
_atom_site_occupancy
Cs1 0.110 0.000 0.346 1
Cs2 0.232 0.500 0.151 1
Rb1 0.000 0.500 0.000 1
Rb2 0.084 0.500 0.700 1
Cd1 0.106 0.000 0.949 1
```

---

No. 9
Entry from the Alexandria database: an optimized crystal structure of TlB3Pd (PBE).

## Properties
Crystal system ... cubic
ΔE to the lowest computed polymorph ... 0.00 kJ per mole of atoms
Calculated total energy ... -4.15 eV per atom
Energy relative to the elements ... 1364 meV per atom

Cell and atoms, written as CIF:
```
data_TlB3Pd
_cell_length_a 4.232
_cell_length_b 4.232
_cell_length_c 4.232
_cell_angle_alpha 90.00
_cell_angle_beta 90.00
_cell_angle_gamma 90.00
_symmetry_space_group_name_H-M 'P m -3 m'
_symmetry_Int_Tables_number 221
_symmetry_space_group_name_Hall '-P 4 2 3'
loop_
_atom_site_label
_atom_site_fract_x
_atom_site_fract_y
_atom_site_fract_z
_atom_site_occupancy
Tl1 0.000 0.000 0.000 1
B1 0.000 0.500 0.500 1
Pd1 0.500 0.500 0.500 1
```

---

No. 10
Entry from the Alexandria database: an optimized crystal structure of Pr3Ho6Tm2Zr (PBE).

## Properties
Crystal system ... monoclinic
Calculated total energy ... -4.90 eV per atom
Energy relative to the elements ... 46 meV per atom

Cell and atoms, written as CIF:
```
data_Pr3Ho6Tm2Zr
_cell_length_a 6.130
_cell_length_b 10.606
_cell_length_c 11.677
_cell_angle_alpha 90.00
_cell_angle_beta 100.04
_cell_angle_gamma 90.00
_symmetry_space_group_name_H-M 'C 1 2/m 1'
_symmetry_Int_Tables_number 12
loop_
_symmetry_equiv_pos_as_xyz
'x,y,z'
'-x,-y,-z'
'-x,y,-z'
'x,-y,z'
'x+1/2,y+1/2,z'
'-x+1/2,-y+1/2,-z'
'-x+1/2,y+1/2,-z'
'x+1/2,-y+1/2,z'
loop_
_atom_site_label
_atom_site_fract_x
_atom_site_fract_y
_atom_site_fract_z
_atom_site_occupancy
Pr1 0.000 0.000 0.000 1
Pr2 0.000 0.334 0.000 1
Ho1 0.243 0.337 0.739 1
Ho2 0.247 0.500 0.261 1
Tm1 0.000 0.167 0.500 1
Zr1 0.000 0.500 0.500 1
```

---

No. 11
Entry from the Alexandria database: an optimized crystal structure of Be2ReIr (PBE).

## Properties
Crystal system ... tetragonal
ΔE to the lowest computed polymorph ... 0.00 kJ per mole of atoms
Calculated total energy ... -7.51 eV per atom
Energy relative to the elements ... -323 meV per atom

Cell and atoms, written as CIF:
```
data_Be2ReIr
_cell_length_a 2.785
_cell_length_b 2.785
_cell_length_c 5.839
_cell_angle_alpha 90.00
_cell_angle_beta 90.00
_cell_angle_gamma 90.00
_symmetry_space_group_name_H-M 'P 4 m m'
_symmetry_Int_Tables_number 99
loop_
_symmetry_equiv_pos_as_xyz
'x,y,z'
'-y,x,z'
'-x,-y,z'
'y,-x,z'
'-x,y,z'
'y,x,z'
'x,-y,z'
'-y,-x,z'
loop_
_atom_site_label
_atom_site_fract_x
_atom_site_fract_y
_atom_site_fract_z
_atom_site_occupancy
Be1 0.000 0.000 0.000 1
Be2 0.500 0.500 0.179 1
Re1 0.500 0.500 0.737 1
Ir1 0.000 0.000 0.421 1
```

---

No. 12
Entry from the Alexandria database: an optimized crystal structure of Re2PRh (PBE).

## Properties
Crystal system ... orthorhombic
Calculated total energy ... -9.54 eV per atom
Energy relative to the elements ... -122 meV per atom

Cell and atoms, written as CIF:
```
data_Re2PRh
_cell_length_a 2.876
_cell_length_b 4.331
_cell_length_c 9.077
_cell_angle_alpha 90.00
_cell_angle_beta 90.00
_cell_angle_gamma 90.00
_symmetry_space_group_name_H-M 'I m m m'
_symmetry_Int_Tables_number 71
_symmetry_space_group_name_Hall '-I 2 2'
loop_
_atom_site_label
_atom_site_fract_x
_atom_site_fract_y
_atom_site_fract_z
_atom_site_occupancy
Re1 0.000 0.000 0.210 1
P1 0.000 0.500 0.500 1
Rh1 0.000 0.500 0.000 1
```